## KTlW (GGA-PBE)

Data for KTlW after structural relaxation.

Computed properties:
- Calculated total energy: -10.857 eV for the cell shown

Lattice parameters (Å, degrees): 5.144 5.144 5.144 60.00 60.00 60.00
Sites, in units of the cell vectors:
K 0.250 0.250 0.250
Tl 0.000 0.000 0.000
W 0.750 0.750 0.750